! Hf3Cu4Pd2, optimized geometry, DFT PBE-GGA; values from VASP
! DOS(E_F): 4.827 states/eV/f.u.
! Uncorrected energy: -6.61 eV per atom
! Total magnetic moment: 0.000 Bohr magnetons per cell
&SYSTEM
  ibrav = 0, nat = 18, ntyp = 3
/
ATOMIC_SPECIES
Hf 178.49 Hf.upf
Cu 63.55 Cu.upf
Pd 106.42 Pd.upf
CELL_PARAMETERS angstrom
6.323 -4.876 0.000
6.323 4.876 0.000
-0.830 0.000 4.699
ATOMIC_POSITIONS angstrom
Hf 5.701 3.687 3.524
Hf 3.559 1.201 4.295
Hf 3.974 -1.201 1.946
Hf 7.842 1.201 2.753
Hf 8.257 -1.201 0.404
Hf 6.116 -3.687 1.175
Cu 2.632 1.287 1.710
Cu 5.214 1.323 2.194
Cu 2.218 -1.287 4.059
Cu 7.017 1.323 0.155
Cu 4.799 -1.323 4.543
Cu 9.599 1.287 0.640
Cu 6.602 -1.323 2.505
Cu 9.184 -1.287 2.989
Pd 0.857 1.149 3.781
Pd 1.272 -1.149 1.432
Pd 10.545 1.149 3.267
Pd 10.960 -1.149 0.917